1.
The following is a PBE calculation of crystalline Tm6Fe2Bi at its relaxed geometry, from Alexandria via LeMat-Bulk.

Unit cell a=8.350 b=8.350 c=8.350 alpha=110.86 beta=110.20 gamma=107.38
Element x y z (fractional)
Tm  0.007  0.232  0.775
Tm  0.186  0.287  0.473
Tm  0.186  0.713  0.899
Tm  0.315  0.012  0.697
Tm  0.315  0.618  0.303
Tm  0.456  0.232  0.225
Tm  0.544  0.768  0.775
Tm  0.685  0.382  0.697
Tm  0.685  0.988  0.303
Tm  0.814  0.287  0.101
Tm  0.814  0.713  0.527
Tm  0.993  0.768  0.225
Fe  0.109  0.609  0.500
Fe  0.387  0.000  0.387
Fe  0.613  0.000  0.613
Fe  0.891  0.391  0.500
Bi  0.000  0.000  0.000
Bi  0.500  0.500  0.000

## Properties
space-group type = Immm (71)
ΔH_f (0 K) = -0.24 eV/atom

=====

2.
The following is a PBE calculation of crystalline SrLiP2 at its relaxed geometry, from Alexandria via LeMat-Bulk.

Unit cell a=2.901 b=5.195 c=5.948 alpha=90.00 beta=90.00 gamma=90.00
Element x y z (fractional)
Sr  0.000  0.000  0.000
Li  0.500  0.500  0.499
P  0.000  0.000  0.500
P  0.500  0.500  0.000

## Properties
space-group type = Pmm2 (25)
ΔH_f (0 K) = -0.13 eV/atom

=====

3.
The following is a PBE calculation of crystalline Zn2Cd2Ag at its relaxed geometry, from Alexandria via LeMat-Bulk.

Unit cell a=8.243 b=8.243 c=2.862 alpha=90.00 beta=90.00 gamma=90.00
Element x y z (fractional)
Zn  0.167  0.333  0.000
Zn  0.333  0.833  0.000
Zn  0.667  0.167  0.000
Zn  0.833  0.667  0.000
Cd  0.134  0.634  0.500
Cd  0.366  0.134  0.500
Cd  0.634  0.866  0.500
Cd  0.866  0.366  0.500
Ag  0.000  0.000  0.500
Ag  0.500  0.500  0.500

## Properties
space-group type = P4/mbm (127)
ΔH_f (0 K) = 0.15 eV/atom

=====

4.
The following is a PBE calculation of crystalline LaTbY5 at its relaxed geometry, from Alexandria via LeMat-Bulk.

Unit cell a=8.558 b=8.558 c=6.983 alpha=102.72 beta=102.72 gamma=96.48
Element x y z (fractional)
La  0.156  0.844  0.750
La  0.844  0.156  0.250
Tb  0.000  0.500  0.000
Tb  0.500  0.000  0.500
Y  0.107  0.893  0.250
Y  0.227  0.283  0.639
Y  0.283  0.227  0.139
Y  0.340  0.604  0.467
Y  0.396  0.660  0.033
Y  0.604  0.340  0.967
Y  0.660  0.396  0.533
Y  0.717  0.773  0.861
Y  0.773  0.717  0.361
Y  0.893  0.107  0.750

## Properties
space-group type = C2/c (15)
ΔH_f (0 K) = 0.19 eV/atom

=====

5.
The following is a PBE calculation of crystalline ZrAgIO2 at its relaxed geometry, from Alexandria via LeMat-Bulk.

Unit cell a=4.223 b=4.223 c=5.257 alpha=90.00 beta=90.00 gamma=90.00
Element x y z (fractional)
Zr  0.000  0.000  0.000
Ag  0.500  0.500  0.500
I  0.500  0.500  0.000
O  0.000  0.500  0.500
O  0.500  0.000  0.500

## Properties
E_form (uncorrected) = 0.30 eV per atom
space-group type = P4/mmm (123)

=====

6.
The following is a PBE calculation of crystalline BaYIO2 at its relaxed geometry, from Alexandria via LeMat-Bulk.

Unit cell a=4.628 b=4.628 c=5.848 alpha=90.00 beta=90.00 gamma=90.00
Element x y z (fractional)
Ba  0.000  0.000  0.000
Y  0.500  0.500  0.500
I  0.500  0.500  0.000
O  0.000  0.500  0.500
O  0.500  0.000  0.500

## Properties
E_form (uncorrected) = -2.03 eV per atom
space-group type = P4/mmm (123)

=====

7.
The following is a PBE calculation of crystalline U2In8Pd at its relaxed geometry, from Alexandria via LeMat-Bulk.

Unit cell a=4.672 b=4.672 c=12.179 alpha=90.00 beta=90.00 gamma=90.00
Element x y z (fractional)
U  0.000  0.000  0.189
U  0.000  0.000  0.811
In  0.000  0.500  0.000
In  0.000  0.500  0.373
In  0.000  0.500  0.627
In  0.500  0.000  0.000
In  0.500  0.000  0.373
In  0.500  0.000  0.627
In  0.500  0.500  0.190
In  0.500  0.500  0.810
Pd  0.000  0.000  0.500

## Properties
space-group type = P4/mmm (123)
ΔH_f (0 K) = -0.12 eV/atom

=====

8.
The following is a PBE calculation of crystalline CsB2Pd2 at its relaxed geometry, from Alexandria via LeMat-Bulk.

Unit cell a=8.318 b=8.318 c=3.198 alpha=90.00 beta=90.00 gamma=90.00
Element x y z (fractional)
Cs  0.000  0.000  0.000
Cs  0.500  0.500  0.000
B  0.073  0.427  0.000
B  0.427  0.927  0.000
B  0.573  0.073  0.000
B  0.927  0.573  0.000
Pd  0.112  0.612  0.500
Pd  0.388  0.112  0.500
Pd  0.612  0.888  0.500
Pd  0.888  0.388  0.500

## Properties
space-group type = P4/mbm (127)
ΔH_f (0 K) = 0.72 eV/atom

=====

9.
The following is a PBE calculation of crystalline Ag5Bi2F12 at its relaxed geometry, from Alexandria via LeMat-Bulk.

Unit cell a=6.742 b=6.742 c=8.710 alpha=98.87 beta=98.87 gamma=63.55
Element x y z (fractional)
Ag  0.000  0.000  0.000
Ag  0.286  0.286  0.147
Ag  0.289  0.289  0.823
Ag  0.711  0.711  0.177
Ag  0.714  0.714  0.853
Bi  0.247  0.753  0.500
Bi  0.753  0.247  0.500
F  0.061  0.061  0.364
F  0.065  0.589  0.331
F  0.102  0.638  0.956
F  0.362  0.898  0.044
F  0.411  0.935  0.669
F  0.444  0.444  0.641
F  0.556  0.556  0.359
F  0.589  0.065  0.331
F  0.638  0.102  0.956
F  0.898  0.362  0.044
F  0.935  0.411  0.669
F  0.939  0.939  0.636

## Properties
E_form (uncorrected) = -1.57 eV per atom
space-group type = C2/m (12)

=====

10.
The following is a PBE calculation of crystalline Y5Ho2Sc4 at its relaxed geometry, from Alexandria via LeMat-Bulk.

Unit cell a=11.800 b=11.800 c=8.710 alpha=108.52 beta=108.52 gamma=16.78
Element x y z (fractional)
Y  0.000  0.000  0.000
Y  0.325  0.325  0.585
Y  0.369  0.369  0.025
Y  0.631  0.631  0.975
Y  0.675  0.675  0.415
Ho  0.097  0.097  0.626
Ho  0.903  0.903  0.374
Sc  0.231  0.231  0.817
Sc  0.486  0.486  0.674
Sc  0.514  0.514  0.326
Sc  0.769  0.769  0.183

## Properties
space-group type = C2/m (12)
ΔH_f (0 K) = 0.19 eV/atom

=====

11.
The following is a PBE calculation of crystalline NaZrB2O6 at its relaxed geometry, from Alexandria via LeMat-Bulk.

Unit cell a=6.137 b=6.137 c=6.809 alpha=99.99 beta=99.99 gamma=105.53
Element x y z (fractional)
Na  0.097  0.903  0.750
Na  0.903  0.097  0.250
Zr  0.431  0.569  0.250
Zr  0.569  0.431  0.750
B  0.119  0.415  0.763
B  0.415  0.119  0.263
B  0.585  0.881  0.737
B  0.881  0.585  0.237
O  0.080  0.526  0.258
O  0.167  0.251  0.630
O  0.251  0.167  0.130
O  0.313  0.542  0.923
O  0.458  0.687  0.577
O  0.474  0.920  0.242
O  0.526  0.080  0.758
O  0.542  0.313  0.423
O  0.687  0.458  0.077
O  0.749  0.833  0.870
O  0.833  0.749  0.370
O  0.920  0.474  0.742

## Properties
E_form (uncorrected) = -2.39 eV per atom
space-group type = C2/c (15)

=====

12.
The following is a PBE calculation of crystalline Sr4La at its relaxed geometry, from Alexandria via LeMat-Bulk.

Unit cell a=6.446 b=6.446 c=6.446 alpha=90.00 beta=90.00 gamma=90.00
Element x y z (fractional)
Sr  0.000  0.000  0.000
Sr  0.000  0.500  0.500
Sr  0.500  0.000  0.500
Sr  0.500  0.500  0.000
La  0.500  0.500  0.500

## Properties
space-group type = Pm-3m (221)
ΔH_f (0 K) = 0.53 eV/atom

=====

Number 1: mass density 9.90 g cm⁻³, uncorrected energy -5.53 eV/atom. Number 2: mass density 2.90 g cm⁻³, uncorrected energy -3.74 eV/atom. Number 3: mass density 7.92 g cm⁻³, uncorrected energy -1.30 eV/atom. Number 4: mass density 5.14 g cm⁻³, uncorrected energy -5.79 eV/atom. Number 5: mass density 6.34 g cm⁻³, uncorrected energy -4.27 eV/atom. Number 6: mass density 5.11 g cm⁻³, uncorrected energy -6.00 eV/atom. Number 7: mass density 9.38 g cm⁻³, uncorrected energy -4.64 eV/atom. Number 8: mass density 5.51 g cm⁻³, uncorrected energy -4.20 eV/atom. Number 9: mass density 5.65 g cm⁻³, uncorrected energy -3.91 eV/atom. Number 10: mass density 4.78 g cm⁻³, uncorrected energy -5.89 eV/atom. Number 11: mass density 3.25 g cm⁻³, uncorrected energy -7.69 eV/atom. Number 12: mass density 3.03 g cm⁻³, uncorrected energy -1.80 eV/atom.